# 1
Entry from the Alexandria database: a geometry-optimized Tm5Pd2Rh2 structure (PBE-GGA).

```
data_Tm5Pd2Rh2
_chemical_formula_sum 'Tm20 Pd8 Rh8'
_space_group_name_H-M_alt 'C m c e'
_space_group_IT_number 64
_space_group_name_Hall '-C 2ac 2'
_cell_length_a 14.6076
_cell_length_b 7.3688
_cell_length_c 7.4170
_cell_angle_alpha 90.00
_cell_angle_beta 90.00
_cell_angle_gamma 90.00
loop_
_atom_site_label
_atom_site_type_symbol
_atom_site_fract_x
_atom_site_fract_y
_atom_site_fract_z
Tm1 Tm 0.0000 0.0000 0.0000
Tm2 Tm 0.1338 0.1716 0.3316
Pd1 Pd 0.2058 0.0000 0.0000
Rh1 Rh 0.0000 0.1335 0.6332
```

Computed properties:
- E_form: -7.7 eV/f.u.
- Total energy: -6.127 eV/atom
- Total moment: 0.000 μB/f.u.

***

# 2
Entry from the Alexandria database: a geometry-optimized Tm5Pd4Rh structure (PBE-GGA).

```
data_Tm5Pd4Rh
_chemical_formula_sum 'Tm5 Pd4 Rh1'
_space_group_name_H-M_alt 'P 4/m m m'
_space_group_IT_number 123
_space_group_name_Hall '-P 4 2'
_cell_length_a 3.4102
_cell_length_b 3.4102
_cell_length_c 17.5707
_cell_angle_alpha 90.00
_cell_angle_beta 90.00
_cell_angle_gamma 90.00
loop_
_atom_site_label
_atom_site_type_symbol
_atom_site_fract_x
_atom_site_fract_y
_atom_site_fract_z
Tm1 Tm 0.0000 0.0000 0.0000
Tm2 Tm 0.0000 0.0000 0.2020
Tm3 Tm 0.0000 0.0000 0.4053
Pd1 Pd 0.5000 0.5000 0.1009
Pd2 Pd 0.5000 0.5000 0.3018
Rh1 Rh 0.5000 0.5000 0.5000
```

Computed properties:
- E_form: -9.4 eV/f.u.
- Total energy: -5.993 eV/atom
- Total moment: 0.000 μB/f.u.

***

# 3
Entry from the Alexandria database: a geometry-optimized TmPdRh structure (PBE-GGA).

```
data_TmPdRh
_chemical_formula_sum 'Tm1 Pd1 Rh1'
_space_group_name_H-M_alt 'P -6 m 2'
_space_group_IT_number 187
_space_group_name_Hall 'P -6 2'
_cell_length_a 4.3684
_cell_length_b 4.3684
_cell_length_c 3.5078
_cell_angle_alpha 90.00
_cell_angle_beta 90.00
_cell_angle_gamma 120.00
loop_
_atom_site_label
_atom_site_type_symbol
_atom_site_fract_x
_atom_site_fract_y
_atom_site_fract_z
Tm1 Tm 0.0000 0.0000 0.0000
Pd1 Pd 0.3333 0.6667 0.5000
Rh1 Rh 0.6667 0.3333 0.5000
```

Computed properties:
- Distance to the lowest polymorph of the same formula: 0 meV per atom
- E_form: -1.9 eV/f.u.
- Total energy: -6.303 eV/atom
- Total moment: 0.000 μB/f.u.

***

# 4
Entry from the Alexandria database: a geometry-optimized Tm12Pd5Rh2 structure (PBE-GGA).

```
data_Tm12Pd5Rh2
_chemical_formula_sum 'Tm24 Pd10 Rh4'
_space_group_name_H-M_alt 'C 1 2/m 1'
_space_group_IT_number 12
_cell_length_a 16.1029
_cell_length_b 7.3202
_cell_length_c 8.6944
_cell_angle_alpha 90.00
_cell_angle_beta 104.92
_cell_angle_gamma 90.00
loop_
_space_group_symop_operation_xyz
'x,y,z'
'-x,-y,-z'
'-x,y,-z'
'x,-y,z'
'x+1/2,y+1/2,z'
'-x+1/2,-y+1/2,-z'
'-x+1/2,y+1/2,-z'
'x+1/2,-y+1/2,z'
loop_
_atom_site_label
_atom_site_type_symbol
_atom_site_fract_x
_atom_site_fract_y
_atom_site_fract_z
Tm1 Tm 0.0017 0.0000 0.2390
Tm2 Tm 0.0120 0.5000 0.3108
Tm3 Tm 0.1494 0.2566 0.0657
Tm4 Tm 0.1702 0.2375 0.5982
Pd1 Pd 0.0000 0.5000 0.0000
Pd2 Pd 0.1898 0.0000 0.3363
Pd3 Pd 0.2021 0.0000 0.8644
Rh1 Rh 0.0000 0.2077 0.5000
```

Computed properties:
- E_form: -11.8 eV/f.u.
- Total energy: -5.585 eV/atom
- Total moment: 0.000 μB/f.u.

***

# 5
Entry from the Alexandria database: a geometry-optimized TmZnPdRh structure (PBE-GGA).

```
data_TmZnPdRh
_chemical_formula_sum 'Tm4 Zn4 Pd4 Rh4'
_space_group_name_H-M_alt 'F -4 3 m'
_space_group_IT_number 216
_space_group_name_Hall 'F -4 2 3'
_cell_length_a 6.4642
_cell_length_b 6.4642
_cell_length_c 6.4642
_cell_angle_alpha 90.00
_cell_angle_beta 90.00
_cell_angle_gamma 90.00
loop_
_atom_site_label
_atom_site_type_symbol
_atom_site_fract_x
_atom_site_fract_y
_atom_site_fract_z
Tm1 Tm 0.0000 0.0000 0.0000
Zn1 Zn 0.0000 0.0000 0.5000
Pd1 Pd 0.2500 0.2500 0.2500
Rh1 Rh 0.2500 0.2500 0.7500
```

Computed properties:
- E_form: -3.0 eV/f.u.
- Total energy: -5.326 eV/atom
- Total moment: 0.000 μB/f.u.

***

# 6
Entry from the Alexandria database: a geometry-optimized UPdRh2 structure (PBE-GGA).

```
data_UPdRh2
_chemical_formula_sum 'U4 Pd4 Rh8'
_space_group_name_H-M_alt 'F m -3 m'
_space_group_IT_number 225
_space_group_name_Hall '-F 4 2 3'
_cell_length_a 6.4855
_cell_length_b 6.4855
_cell_length_c 6.4855
_cell_angle_alpha 90.00
_cell_angle_beta 90.00
_cell_angle_gamma 90.00
loop_
_atom_site_label
_atom_site_type_symbol
_atom_site_fract_x
_atom_site_fract_y
_atom_site_fract_z
U1 U 0.0000 0.0000 0.0000
Pd1 Pd 0.0000 0.0000 0.5000
Rh1 Rh 0.2500 0.2500 0.2500
```

Computed properties:
- Distance to the lowest polymorph of the same formula: 206 meV per atom
- E_form: -1.7 eV/f.u.
- Total energy: -8.230 eV/atom
- Total moment: 1.744 μB/f.u.

***

# 7
Entry from the Alexandria database: a geometry-optimized UPdRh2 structure (PBE-GGA).

```
data_UPdRh2
_chemical_formula_sum 'U3 Pd3 Rh6'
_space_group_name_H-M_alt 'R -3 m'
_space_group_IT_number 166
_space_group_name_Hall '-R 3 2"'
_cell_length_a 2.8254
_cell_length_b 2.8254
_cell_length_c 28.2968
_cell_angle_alpha 90.00
_cell_angle_beta 90.00
_cell_angle_gamma 120.00
loop_
_atom_site_label
_atom_site_type_symbol
_atom_site_fract_x
_atom_site_fract_y
_atom_site_fract_z
U1 U 0.0000 0.0000 0.0000
Pd1 Pd 0.0000 0.0000 0.5000
Rh1 Rh 0.0000 0.0000 0.2489
```

Computed properties:
- Distance to the lowest polymorph of the same formula: 591 meV per atom
- E_form: -0.2 eV/f.u.
- Total energy: -7.845 eV/atom
- Total moment: 0.349 μB/f.u.

***

# 8
Entry from the Alexandria database: a geometry-optimized U4PdRh12 structure (PBE-GGA).

```
data_U4PdRh12
_chemical_formula_sum 'U8 Pd2 Rh24'
_space_group_name_H-M_alt 'I m -3 m'
_space_group_IT_number 229
_space_group_name_Hall '-I 4 2 3'
_cell_length_a 8.3007
_cell_length_b 8.3007
_cell_length_c 8.3007
_cell_angle_alpha 90.00
_cell_angle_beta 90.00
_cell_angle_gamma 90.00
loop_
_atom_site_label
_atom_site_type_symbol
_atom_site_fract_x
_atom_site_fract_y
_atom_site_fract_z
U1 U 0.2500 0.2500 0.2500
Pd1 Pd 0.0000 0.0000 0.0000
Rh1 Rh 0.0000 0.0000 0.2988
Rh2 Rh 0.0000 0.2500 0.5000
```

Computed properties:
- E_form: -6.6 eV/f.u.
- Total energy: -8.541 eV/atom
- Total moment: 1.227 μB/f.u.

***

# 9
Entry from the Alexandria database: a geometry-optimized UPdRh3 structure (PBE-GGA).

```
data_UPdRh3
_chemical_formula_sum 'U2 Pd2 Rh6'
_space_group_name_H-M_alt 'P m m n'
_space_group_IT_number 59
_cell_length_a 4.2731
_cell_length_b 5.4897
_cell_length_c 7.3118
_cell_angle_alpha 90.00
_cell_angle_beta 90.00
_cell_angle_gamma 90.00
loop_
_space_group_symop_operation_xyz
'x,y,z'
'-x,-y,-z'
'-x+1/2,-y+1/2,z'
'x+1/2,y+1/2,-z'
'x+1/2,-y,-z'
'-x+1/2,y,z'
'-x,y+1/2,-z'
'x,-y+1/2,z'
loop_
_atom_site_label
_atom_site_type_symbol
_atom_site_fract_x
_atom_site_fract_y
_atom_site_fract_z
U1 U 0.2500 0.2500 0.2030
Pd1 Pd 0.2500 0.7500 0.4380
Rh1 Rh 0.2500 0.0080 0.7508
Rh2 Rh 0.2500 0.7500 0.0669
```

Computed properties:
- Distance to the lowest polymorph of the same formula: 75 meV per atom
- E_form: -1.7 eV/f.u.
- Total energy: -8.048 eV/atom
- Total moment: 0.000 μB/f.u.

***

# 10
Entry from the Alexandria database: a geometry-optimized UPdRh3 structure (PBE-GGA).

```
data_UPdRh3
_chemical_formula_sum 'U2 Pd2 Rh6'
_space_group_name_H-M_alt 'P m m n'
_space_group_IT_number 59
_cell_length_a 4.6839
_cell_length_b 5.8405
_cell_length_c 6.3189
_cell_angle_alpha 90.00
_cell_angle_beta 90.00
_cell_angle_gamma 90.00
loop_
_space_group_symop_operation_xyz
'x,y,z'
'-x,-y,-z'
'-x+1/2,-y+1/2,z'
'x+1/2,y+1/2,-z'
'x+1/2,-y,-z'
'-x+1/2,y,z'
'-x,y+1/2,-z'
'x,-y+1/2,z'
loop_
_atom_site_label
_atom_site_type_symbol
_atom_site_fract_x
_atom_site_fract_y
_atom_site_fract_z
U1 U 0.2500 0.2500 0.0248
Pd1 Pd 0.2500 0.7500 0.3022
Rh1 Rh 0.2500 0.2500 0.3922
Rh2 Rh 0.2500 0.5206 0.7382
```

Computed properties:
- Distance to the lowest polymorph of the same formula: 0 meV per atom
- E_form: -2.1 eV/f.u.
- Total energy: -8.123 eV/atom
- Total moment: 0.000 μB/f.u.

***

# 11
Entry from the Alexandria database: a geometry-optimized UPd2Rh structure (PBE-GGA).

```
data_UPd2Rh
_chemical_formula_sum 'U4 Pd8 Rh4'
_space_group_name_H-M_alt 'F m -3 m'
_space_group_IT_number 225
_space_group_name_Hall '-F 4 2 3'
_cell_length_a 6.5650
_cell_length_b 6.5650
_cell_length_c 6.5650
_cell_angle_alpha 90.00
_cell_angle_beta 90.00
_cell_angle_gamma 90.00
loop_
_atom_site_label
_atom_site_type_symbol
_atom_site_fract_x
_atom_site_fract_y
_atom_site_fract_z
U1 U 0.0000 0.0000 0.0000
Pd1 Pd 0.2500 0.2500 0.2500
Rh1 Rh 0.0000 0.0000 0.5000
```

Computed properties:
- E_form: -1.0 eV/f.u.
- Total energy: -7.515 eV/atom
- Total moment: 1.655 μB/f.u.

***

# 12
Entry from the Alexandria database: a geometry-optimized UPd4Rh structure (PBE-GGA).

```
data_UPd4Rh
_chemical_formula_sum 'U2 Pd8 Rh2'
_space_group_name_H-M_alt 'P -4 2 c'
_space_group_IT_number 112
_cell_length_a 5.0693
_cell_length_b 5.0693
_cell_length_c 8.6347
_cell_angle_alpha 90.00
_cell_angle_beta 90.00
_cell_angle_gamma 90.00
loop_
_space_group_symop_operation_xyz
'x,y,z'
'y,-x,-z'
'-x,-y,z'
'-y,x,-z'
'x,-y,-z+1/2'
'y,x,z+1/2'
'-x,y,-z+1/2'
'-y,-x,z+1/2'
loop_
_atom_site_label
_atom_site_type_symbol
_atom_site_fract_x
_atom_site_fract_y
_atom_site_fract_z
U1 U 0.0000 0.5000 0.2500
Pd1 Pd 0.0854 0.2561 0.8919
Rh1 Rh 0.5000 0.5000 0.0000
```

Computed properties:
- E_form: 0.3 eV/f.u.
- Total energy: -6.517 eV/atom
- Total moment: 1.241 μB/f.u.